No. 1
Material: InAg3
Method: DFT, meta-GGA SCAN
State: single point on PBEsol structure

Unit cell a=5.244 b=5.244 c=5.244 alpha=90.00 beta=90.00 gamma=90.00
Positions (direct):
Ag1 0.750 0.500 0.000
Ag2 0.250 0.500 0.000
Ag3 0.000 0.750 0.500
Ag4 0.000 0.250 0.500
Ag5 0.500 0.000 0.250
Ag6 0.500 0.000 0.750
In1 0.000 0.000 0.000
In2 0.500 0.500 0.500

Properties
The crystal system is cubic. As for the total energy: -31.844 eV per atom. The space group is Pm-3n, No. 223. Its density of states at the Fermi level is 2.39 states/eV per cell. For the formation energy, the calculation gives 28 meV per atom.



No. 2
Material: Na2TlP3H7N3O8
Method: DFT, meta-GGA SCAN
State: single point on PBEsol structure

Unit cell a=7.919 b=7.958 c=8.592 alpha=77.86 beta=82.66 gamma=75.80
Positions (direct):
Na1 0.928 0.000 0.337
Na2 0.072 0.000 0.663
Na3 0.151 0.148 0.999
Na4 0.849 0.852 0.001
Tl1 0.642 0.729 0.445
Tl2 0.358 0.271 0.555
P1 0.245 0.713 0.148
P2 0.755 0.287 0.852
P3 0.552 0.175 0.151
P4 0.448 0.825 0.849
P5 0.782 0.422 0.141
P6 0.218 0.578 0.859
H1 0.539 0.717 0.101
H2 0.461 0.283 0.899
H3 0.246 0.427 0.119
H4 0.754 0.573 0.881
H5 0.497 0.438 0.245
H6 0.503 0.562 0.755
H7 0.000 0.696 0.615
H8 0.000 0.304 0.385
H9 0.081 0.647 0.446
H10 0.919 0.353 0.554
H11 0.268 0.834 0.392
H12 0.732 0.166 0.608
H13 0.284 0.035 0.333
H14 0.716 0.965 0.667
N1 0.422 0.779 0.050
N2 0.578 0.221 0.950
N3 0.210 0.557 0.059
N4 0.790 0.443 0.941
N5 0.604 0.341 0.216
N6 0.396 0.659 0.784
O1 0.091 0.868 0.129
O2 0.909 0.132 0.871
O3 0.681 0.006 0.209
O4 0.319 0.994 0.791
O5 0.294 0.625 0.317
O6 0.706 0.375 0.683
O7 0.942 0.286 0.201
O8 0.058 0.714 0.799
O9 0.749 0.607 0.175
O10 0.251 0.393 0.825
O11 0.357 0.189 0.195
O12 0.643 0.811 0.805
O13 0.973 0.705 0.503
O14 0.027 0.295 0.497
O15 0.233 0.953 0.421
O16 0.767 0.047 0.579

Properties
The crystal system is triclinic. As for the total energy: -10.372 eV per atom. The space group is P-1, No. 2. Its density of states at the Fermi level is 0.00 states/eV per cell.



No. 3
Material: InRuSeN2
Method: DFT, meta-GGA SCAN
State: single point on PBEsol structure

Unit cell a=4.032 b=4.032 c=5.642 alpha=90.00 beta=90.00 gamma=90.00
Positions (direct):
Ru1 0.500 0.500 0.500
N1 0.000 0.500 0.000
N2 0.500 0.000 0.000
Se1 0.000 0.000 0.500
In1 0.000 0.000 0.000

Properties
The crystal system is tetragonal. As for the total energy: -19.602 eV per atom. The space group is P4/mmm, No. 123. For the uncorrected formation energy, the calculation gives 1.7727 eV per atom. Its density of states at the Fermi level is 2.82 states/eV per cell.



No. 4
Material: SrZn2Pt
Method: DFT, meta-GGA SCAN
State: single point on PBEsol structure

Unit cell a=4.371 b=4.371 c=5.866 alpha=68.13 beta=68.13 gamma=60.00
Positions (direct):
Sr1 0.244 0.244 0.269
Zn1 0.053 0.053 0.841
Zn2 0.764 0.764 0.708
Pt1 0.436 0.436 0.691

Properties
The crystal system is trigonal. As for the total energy: -30.541 eV per atom. The space group is R3m, No. 160. Its density of states at the Fermi level is 1.65 states/eV per cell. For the formation energy, the calculation gives -667 meV per atom.



Repeat the second record exactly.
Material: Na2TlP3H7N3O8
Method: DFT, meta-GGA SCAN
State: single point on PBEsol structure

Unit cell a=7.919 b=7.958 c=8.592 alpha=77.86 beta=82.66 gamma=75.80
Positions (direct):
Na1 0.928 0.000 0.337
Na2 0.072 0.000 0.663
Na3 0.151 0.148 0.999
Na4 0.849 0.852 0.001
Tl1 0.642 0.729 0.445
Tl2 0.358 0.271 0.555
P1 0.245 0.713 0.148
P2 0.755 0.287 0.852
P3 0.552 0.175 0.151
P4 0.448 0.825 0.849
P5 0.782 0.422 0.141
P6 0.218 0.578 0.859
H1 0.539 0.717 0.101
H2 0.461 0.283 0.899
H3 0.246 0.427 0.119
H4 0.754 0.573 0.881
H5 0.497 0.438 0.245
H6 0.503 0.562 0.755
H7 0.000 0.696 0.615
H8 0.000 0.304 0.385
H9 0.081 0.647 0.446
H10 0.919 0.353 0.554
H11 0.268 0.834 0.392
H12 0.732 0.166 0.608
H13 0.284 0.035 0.333
H14 0.716 0.965 0.667
N1 0.422 0.779 0.050
N2 0.578 0.221 0.950
N3 0.210 0.557 0.059
N4 0.790 0.443 0.941
N5 0.604 0.341 0.216
N6 0.396 0.659 0.784
O1 0.091 0.868 0.129
O2 0.909 0.132 0.871
O3 0.681 0.006 0.209
O4 0.319 0.994 0.791
O5 0.294 0.625 0.317
O6 0.706 0.375 0.683
O7 0.942 0.286 0.201
O8 0.058 0.714 0.799
O9 0.749 0.607 0.175
O10 0.251 0.393 0.825
O11 0.357 0.189 0.195
O12 0.643 0.811 0.805
O13 0.973 0.705 0.503
O14 0.027 0.295 0.497
O15 0.233 0.953 0.421
O16 0.767 0.047 0.579

Properties
The crystal system is triclinic. As for the total energy: -10.372 eV per atom. The space group is P-1, No. 2. Its density of states at the Fermi level is 0.00 states/eV per cell.